# TiAs2IBr, optimized geometry, DFT PBE-GGA
# Energy relative to the lowest polymorph listed for this composition (meV per atom): 0.0
# E_form (uncorrected) (eV/atom): -0.030
# SG: No. 123
data_TiAs2IBr
_cell_length_a 5.097
_cell_length_b 5.097
_cell_length_c 4.949
_cell_angle_alpha 90.00
_cell_angle_beta 90.00
_cell_angle_gamma 90.00
_symmetry_space_group_name_H-M 'P 1'
_symmetry_Int_Tables_number 1
_symmetry_space_group_name_Hall 'P 1'
loop_
_atom_site_label
_atom_site_type_symbol
_atom_site_fract_x
_atom_site_fract_y
_atom_site_fract_z
I1 I 0.500 0.500 0.500
As1 As 0.000 0.500 0.000
As2 As 0.500 0.000 0.000
Br1 Br 0.000 0.000 0.500
Ti1 Ti 0.000 0.000 0.000

# TlAs2IBr, optimized geometry, DFT PBE-GGA
# Energy relative to the lowest polymorph listed for this composition (meV per atom): 0.0
# E_form (uncorrected) (eV/atom): 0.639
# SG: No. 123
data_TlAs2IBr
_cell_length_a 5.466
_cell_length_b 5.466
_cell_length_c 7.475
_cell_angle_alpha 90.00
_cell_angle_beta 90.00
_cell_angle_gamma 90.00
_symmetry_space_group_name_H-M 'P 1'
_symmetry_Int_Tables_number 1
_symmetry_space_group_name_Hall 'P 1'
loop_
_atom_site_label
_atom_site_type_symbol
_atom_site_fract_x
_atom_site_fract_y
_atom_site_fract_z
I1 I 0.000 0.000 0.000
Tl1 Tl 0.500 0.500 0.500
As1 As 0.000 0.500 0.000
As2 As 0.500 0.000 0.000
Br1 Br 0.000 0.000 0.500

# TlAsI2Br, optimized geometry, DFT PBE-GGA
# E_form (uncorrected) (eV/atom): -0.308
# SG: No. 123
data_TlAsI2Br
_cell_length_a 5.816
_cell_length_b 5.816
_cell_length_c 5.441
_cell_angle_alpha 90.00
_cell_angle_beta 90.00
_cell_angle_gamma 90.00
_symmetry_space_group_name_H-M 'P 1'
_symmetry_Int_Tables_number 1
_symmetry_space_group_name_Hall 'P 1'
loop_
_atom_site_label
_atom_site_type_symbol
_atom_site_fract_x
_atom_site_fract_y
_atom_site_fract_z
I1 I 0.000 0.500 0.000
I2 I 0.500 0.000 0.000
Tl1 Tl 0.500 0.500 0.500
As1 As 0.000 0.000 0.000
Br1 Br 0.000 0.000 0.500